No. 1
The following is a DFT calculation (PBE) of an optimized crystal structure of Pa2SnI.

Space-group type ... Fm-3m (225)

The structure in POSCAR format:
```
Pa2SnI
1.0
-1.9583 -2.7441 -4.0937
3.2603 -1.8689 -3.7418
0.8993 -5.2132 -0.3706
I Pa Sn
1 2 1
Cartesian
0.0000 0.0000 0.0000
0.5503 -2.4566 -2.0515
1.6509 -7.3697 -6.1546
1.1006 -4.9131 -4.1031
```

=====

No. 2
The following is a DFT calculation (PBE) of an optimized crystal structure of TmMgScSe4.

Space-group type ... Imma (74)

The structure in POSCAR format:
```
TmMgScSe4
1.0
8.0267 0.0000 0.0000
4.0133 6.9980 0.0904
4.0133 2.2181 6.6378
Tm Mg Sc Se
2 2 2 8
Cartesian
0.0000 0.0000 0.0000
4.0133 4.6080 3.3641
8.0267 4.6430 0.8804
8.0267 4.5731 5.8479
6.0200 1.1090 3.3189
2.0067 1.1090 3.3189
12.0400 6.9785 4.9071
8.0267 7.0243 4.9405
8.0267 2.1918 1.7877
4.0133 2.2376 1.8212
5.9623 5.9037 1.8008
10.0910 5.9037 1.8008
5.9623 3.3124 4.9275
10.0910 3.3124 4.9275
```

=====

No. 3
The following is a DFT calculation (PBE) of an optimized crystal structure of FeP2PtCl.

Energy relative to the lowest polymorph listed for this composition ... 0 meV/atom
Space-group type ... P4/mmm (123)

The structure in POSCAR format:
```
FeP2PtCl
1.0
4.2483 0.0000 0.0000
0.0000 4.2483 0.0000
0.0000 0.0000 4.6427
P Fe Pt Cl
2 1 1 1
Cartesian
0.0000 2.1241 0.0000
2.1241 0.0000 0.0000
0.0000 0.0000 0.0000
2.1241 2.1241 2.3213
0.0000 0.0000 2.3213
```

=====

No. 4
The following is a DFT calculation (PBE) of an optimized crystal structure of LiLuPuSi.

Space-group type ... F-43m (216)

The structure in POSCAR format:
```
LiLuPuSi
1.0
4.9253 0.0000 0.0000
2.4626 4.2654 0.0000
2.4626 1.4218 4.0215
Si Lu Li Pu
1 1 1 1
Cartesian
7.3879 4.2654 3.0161
4.9253 2.8436 2.0107
2.4626 1.4218 1.0054
0.0000 0.0000 0.0000
```

=====

No. 5
The following is a DFT calculation (PBE) of an optimized crystal structure of K2RhCl.

Energy relative to the lowest polymorph listed for this composition ... 156 meV/atom
Space-group type ... Pm (6)

The structure in POSCAR format:
```
K2RhCl
1.0
5.8288 0.0000 0.0000
0.0000 3.2754 0.0138
0.0000 -0.0042 5.8286
K Rh Cl
2 1 1
Cartesian
0.0000 0.4019 5.1006
2.9144 0.4124 2.1907
0.0000 2.0459 2.1931
2.9144 2.0426 5.1079
```

=====

No. 6
The following is a DFT calculation (PBE) of an optimized crystal structure of YGe2Pd4.

Formation energy ... -0.7247 eV per atom
Energy relative to the lowest polymorph listed for this composition ... 0 meV/atom
Space-group type ... P4_2/mnm (136)

The structure in POSCAR format:
```
YGe2Pd4
1.0
-1.2165 -0.0031 -3.6793
7.3511 -1.7282 -2.4290
-1.6389 -7.7420 0.5484
Y Ge Pd
2 4 8
Cartesian
-0.6082 -0.0015 -1.8396
2.8561 -4.7351 -0.9403
0.3634 -6.4026 -0.1148
5.3487 -3.0677 -1.7659
3.5201 -6.8460 -3.1988
0.9756 -2.6273 -2.3611
0.0358 -2.6641 -0.0096
5.6763 -6.8062 -1.8710
-0.2816 -4.7737 -1.9436
4.7773 -4.6996 -3.6163
1.1409 -7.1321 -2.4120
3.3548 -2.3412 -3.1479
2.2746 -1.1665 -0.7511
3.4375 -8.3038 -1.1296
```

=====

No. 7
The following is a DFT calculation (PBE) of an optimized crystal structure of ScTcO2F.

Space-group type ... P4/mmm (123)

The structure in POSCAR format:
```
ScTcO2F
1.0
-1.0621 -0.7454 -3.7274
1.7229 -3.5441 0.2178
-3.5044 -1.6223 1.3230
Sc Tc O F
1 1 2 1
Cartesian
-1.4218 -2.9559 -1.0933
0.0000 0.0000 0.0000
0.8615 -1.7721 0.1089
-0.5310 -0.3727 -1.8637
-1.7522 -0.8111 0.6615
```

=====

No. 8
The following is a DFT calculation (PBE) of an optimized crystal structure of Sm2Si4OsPt3.

Space-group type ... P-4m2 (115)

The structure in POSCAR format:
```
Sm2Si4OsPt3
1.0
-1.6662 1.6585 3.4647
-2.5461 -3.3046 0.3575
6.8500 -4.6790 5.5340
Sm Si Os Pt
2 4 1 3
Cartesian
0.8450 -0.3170 3.0880
3.8988 -5.1850 4.3570
-2.1061 -0.8231 1.9111
0.0000 0.0000 0.0000
3.4793 -2.1164 5.2163
1.2645 -3.3856 2.2288
1.3189 -3.1625 4.6781
3.4250 -2.3395 2.7670
5.1549 -3.2610 6.5700
-0.4111 -2.2411 0.8751
```

=====

No. 9
The following is a DFT calculation (PBE) of an optimized crystal structure of La2Sm3Pb.

Formation energy ... -0.1825 eV per atom
Space-group type ... Cmmm (65)

The structure in POSCAR format:
```
La2Sm3Pb
1.0
-0.4562 4.8413 0.7788
-4.0860 0.0822 -2.9042
-2.4956 -1.4893 7.7967
La Sm Pb
2 3 1
Cartesian
-3.5285 -0.4329 0.6245
-3.0532 -0.9742 4.2680
-1.6706 1.9604 2.4059
-2.2711 2.4618 -1.0627
-5.3672 1.4738 3.2654
0.0000 0.0000 0.0000
```

=====

No. 10
The following is a DFT calculation (PBE) of an optimized crystal structure of Re2TeRh.

Space-group type ... I-42d (122)

The structure in POSCAR format:
```
Re2TeRh
1.0
5.8134 0.0000 0.0000
0.0000 5.8134 0.0000
2.9067 2.9067 5.6747
Re Te Rh
4 2 2
Cartesian
4.1651 1.4534 1.4187
1.6483 4.3601 1.4187
4.3601 4.5551 4.2560
7.2668 7.0718 4.2560
0.0000 0.0000 0.0000
5.8134 2.9067 2.8373
2.9067 2.9067 0.0000
2.9067 5.8134 2.8373
```

=====

No. 11
The following is a DFT calculation (PBE) of an optimized crystal structure of Np2ZnPt9.

Formation energy ... -0.5233 eV per atom
Space-group type ... P4/mmm (123)

The structure in POSCAR format:
```
Np2ZnPt9
1.0
4.0979 0.0000 0.0000
0.0000 4.0979 0.0000
0.0000 0.0000 12.1491
Np Zn Pt
2 1 9
Cartesian
0.0000 0.0000 3.9520
0.0000 0.0000 8.1971
0.0000 0.0000 0.0000
2.0489 2.0489 0.0000
2.0489 2.0489 3.9814
2.0489 2.0489 8.1677
2.0489 0.0000 1.9099
2.0489 0.0000 6.0745
2.0489 0.0000 10.2391
0.0000 2.0489 1.9099
0.0000 2.0489 6.0745
0.0000 2.0489 10.2391
```

=====

No. 12
The following is a DFT calculation (PBE) of an optimized crystal structure of La2YScO.

Energy relative to the lowest polymorph listed for this composition ... 0 meV/atom
Space-group type ... P4/mmm (123)

The structure in POSCAR format:
```
La2YScO
1.0
5.4174 0.0000 0.0000
0.0000 5.4174 0.0000
0.0000 0.0000 4.3041
Y Sc O La
1 1 1 2
Cartesian
2.7087 2.7087 2.1521
0.0000 0.0000 2.1521
0.0000 0.0000 0.0000
0.0000 2.7087 0.0000
2.7087 0.0000 0.0000
```

=====

No. 13
The following is a DFT calculation (PBE) of an optimized crystal structure of YSc2HAu.

Space-group type ... P4/mmm (123)

The structure in POSCAR format:
```
YSc2HAu
1.0
-2.5098 2.8268 -2.2981
-0.2925 -2.9380 -3.2945
-3.9140 -1.8508 1.9980
Y Sc Au H
1 2 1 1
Cartesian
-1.9570 -0.9254 0.9990
-0.1462 -1.4690 -1.6472
-1.2549 1.4134 -1.1491
-3.3581 -0.9810 -1.7973
0.0000 0.0000 0.0000
```

=====

No. 14
The following is a DFT calculation (PBE) of an optimized crystal structure of Zn3Co5.

Formation energy ... 0.2068 eV per atom
Energy relative to the lowest polymorph listed for this composition ... 150 meV/atom
Space-group type ... P6_3/mcm (193)

The structure in POSCAR format:
```
Zn3Co5
1.0
-3.1298 -2.5631 5.8409
-0.1903 -7.0102 1.1434
3.9459 0.2561 2.2267
Zn Co
6 10
Cartesian
2.8830 -2.6228 2.1292
0.8725 -4.1313 1.2411
1.5887 -5.0324 4.6999
-0.2704 -0.9654 2.9023
-0.9630 -4.2849 4.5114
1.0864 -1.3418 5.1654
0.9472 -1.3811 0.7925
-0.3214 -7.9358 8.4186
0.1902 -6.0297 2.6686
2.1241 -7.3462 4.0172
2.8392 -2.9350 4.5549
0.8662 -3.0631 3.4415
-2.2134 -6.3823 4.6563
-0.2404 -6.2542 5.7696
0.4354 -3.2875 6.5429
-1.4983 -1.9710 5.1938
```

=====

No. 15
The following is a DFT calculation (PBE) of an optimized crystal structure of SnCCl2.

Energy relative to the lowest polymorph listed for this composition ... 15 meV/atom
Space-group type ... R-3m (166)

The structure in POSCAR format:
```
SnCCl2
1.0
1.9736 0.0000 8.5613
-0.9868 1.7092 8.5613
-0.9868 -1.7092 8.5613
C Sn Cl
1 1 2
Cartesian
0.0000 0.0000 12.8419
0.0000 0.0000 0.0000
0.0000 0.0000 22.7450
0.0000 0.0000 2.9388
```

=====

No. 16
The following is a DFT calculation (PBE) of an optimized crystal structure of Li2FeSi.

Space-group type ... P4/mmm (123)

The structure in POSCAR format:
```
Li2FeSi
1.0
2.4934 0.0000 0.0000
0.0000 2.4934 0.0000
0.0000 0.0000 8.4853
Fe Li Si
1 2 1
Cartesian
1.2467 1.2467 6.3640
0.0000 0.0000 0.0663
0.0000 0.0000 4.1763
1.2467 1.2467 2.1213
```

=====

No. 17
The following is a DFT calculation (PBE) of an optimized crystal structure of Ac3CrB2N6.

Space-group type ... P-3m1 (164)

The structure in POSCAR format:
```
Ac3CrB2N6
1.0
5.5219 0.0000 0.0000
-2.7610 4.7821 0.0000
0.0000 0.0000 6.5353
Ac Cr B N
3 1 2 6
Cartesian
0.0000 3.1881 4.4320
2.7610 1.5940 2.1033
0.0000 0.0000 0.0000
0.0000 0.0000 3.2676
2.7610 1.5940 4.7088
0.0000 3.1881 1.8264
1.2799 3.9270 1.9422
0.0000 1.7102 1.9422
-1.2799 3.9270 1.9422
2.7610 3.0719 4.5931
1.4811 0.8551 4.5931
4.0408 0.8551 4.5931
```

=====

No. 18
The following is a DFT calculation (PBE) of an optimized crystal structure of BeRe2W.

Formation energy ... 0.2275 eV per atom
Space-group type ... I-4m2 (119)

The structure in POSCAR format:
```
BeRe2W
1.0
4.8099 0.0191 0.0000
1.8614 4.4352 0.0000
-3.3357 -2.2272 2.6550
Re W Be
2 1 1
Cartesian
0.0000 0.0000 0.0000
0.9307 2.2176 1.3275
3.3357 2.2272 0.0000
2.4050 0.0096 1.3275
```

=====

No. 19
The following is a DFT calculation (PBE) of an optimized crystal structure of ScTl2Cu2Te4.

Space-group type ... C2/m (12)

The structure in POSCAR format:
```
ScTl2Cu2Te4
1.0
-0.1024 4.1001 -0.3697
-2.0097 -0.7915 -8.2215
-6.4360 -1.8412 4.2969
Sc Tl Cu Te
1 2 2 4
Cartesian
0.0000 0.0000 0.0000
-2.8244 -0.3887 -3.5292
-5.7236 1.8561 -0.7651
-4.4697 1.3447 -6.7844
-4.0784 0.1227 2.4901
-2.9625 -0.0666 0.0816
-5.5856 1.5340 -4.3759
-1.8660 1.4504 -6.3333
-6.6820 0.0170 2.0390
```

=====

No. 20
The following is a DFT calculation (PBE) of an optimized crystal structure of Si3SeS.

Energy relative to the lowest polymorph listed for this composition ... 355 meV/atom
Space-group type ... Pm-3m (221)

The structure in POSCAR format:
```
Si3SeS
1.0
-1.1139 -1.4356 -4.6399
4.4831 -2.1353 -0.4156
-1.8686 -4.2673 1.7689
S Si Se
1 3 1
Cartesian
0.7503 -3.9191 -1.6433
2.2416 -1.0677 -0.2078
-0.9343 -2.1337 0.8844
-0.5569 -0.7178 -2.3200
0.0000 0.0000 0.0000
```

=====

no.,total energy (eV/atom)
1,-6.222
2,-5.397
3,-4.799
4,-6.722
5,-3.019
6,-5.935
7,-7.044
8,-7.089
9,-4.803
10,-7.594
11,-7.317
12,-6.680
13,-5.541
14,-4.712
15,-3.059
16,-4.356
17,-8.054
18,-10.166
19,-4.031
20,-3.513